The following is a DFT calculation (PBE-GGA) of a relaxed structure of Tb2CePr3Se6.

Output
Density of states at the Fermi level: 10.76 states/eV per cell
Final energy: -6.025 eV per atom
Space group: No. 12
Uncorrected formation energy: -2110 kJ/mol of formula units

a b c (Å): 7.254 7.254 7.316
angles (deg): 99.53 99.53 120.15
Fractional coordinates of all 12 atoms:
Tb: 0.167 0.833 0.000
Tb: 0.833 0.167 0.000
Ce: 0.500 0.500 0.000
Pr: 0.000 0.000 0.500
Pr: 0.334 0.666 0.500
Pr: 0.666 0.334 0.500
Se: 0.083 0.420 0.762
Se: 0.240 0.240 0.237
Se: 0.420 0.083 0.762
Se: 0.580 0.917 0.238
Se: 0.760 0.760 0.763
Se: 0.917 0.580 0.238

---

The following is a DFT calculation (PBE-GGA) of a relaxed structure of Te2MoPtI.

Output
Density of states at the Fermi level: 6.88 states/eV per cell
Final energy: -3.980 eV per atom
Space group: No. 123
Uncorrected formation energy: 464 kJ/mol of formula units

a b c (Å): 5.166 5.166 5.498
angles (deg): 90.00 90.00 90.00
Fractional coordinates of all 5 atoms:
Te: 0.000 0.500 0.000
Te: 0.500 0.000 0.000
Mo: 0.000 0.000 0.000
Pt: 0.500 0.500 0.500
I: 0.000 0.000 0.500

---

The following is a DFT calculation (PBE-GGA) of a relaxed structure of PmDy7In2.

Output
Density of states at the Fermi level: 19.65 states/eV per cell
Final energy: -3.898 eV per atom
Space group: No. 65
Formation energy: 3.5 eV per formula unit

a b c (Å): 8.893 8.893 5.524
angles (deg): 90.00 90.00 118.26
Fractional coordinates of all 10 atoms:
Pm: 0.000 0.000 0.000
Dy: 0.058 0.303 0.500
Dy: 0.233 0.767 0.000
Dy: 0.303 0.058 0.500
Dy: 0.500 0.500 0.500
Dy: 0.697 0.942 0.500
Dy: 0.767 0.233 0.000
Dy: 0.942 0.697 0.500
In: 0.303 0.697 0.500
In: 0.697 0.303 0.500

---

The following is a DFT calculation (PBE-GGA) of a relaxed structure of Ni5C2.

Output
Density of states at the Fermi level: 8.63 states/eV per cell
Final energy: -6.625 eV per atom
Space group: No. 15
Formation energy: 1.0 eV per formula unit

a b c (Å): 6.191 6.191 4.938
angles (deg): 97.36 97.36 43.04
Fractional coordinates of all 14 atoms:
Ni: 0.064 0.936 0.750
Ni: 0.137 0.286 0.315
Ni: 0.286 0.137 0.815
Ni: 0.322 0.484 0.089
Ni: 0.484 0.322 0.589
Ni: 0.516 0.678 0.411
Ni: 0.678 0.516 0.911
Ni: 0.714 0.863 0.185
Ni: 0.863 0.714 0.685
Ni: 0.936 0.064 0.250
C: 0.089 0.677 0.418
C: 0.323 0.911 0.082
C: 0.677 0.089 0.918
C: 0.911 0.323 0.582

---

The following is a DFT calculation (PBE-GGA) of a relaxed structure of Sm3Se2.

Output
Density of states at the Fermi level: 3.52 states/eV per cell
Relative energy among the computed polymorphs: 0.0 kJ/mol of formula units
Final energy: -5.627 eV per atom
Space group: No. 166
Uncorrected formation energy: -676 kJ/mol of formula units

a b c (Å): 10.407 10.407 10.407
angles (deg): 22.36 22.36 22.36
Fractional coordinates of all 5 atoms:
Sm: 0.000 0.000 0.000
Sm: 0.214 0.214 0.214
Sm: 0.786 0.786 0.786
Se: 0.392 0.392 0.392
Se: 0.608 0.608 0.608

---

The following is a DFT calculation (PBE-GGA) of a relaxed structure of NbCl.

Output
Density of states at the Fermi level: 8.13 states/eV per cell
Final energy: -5.190 eV per atom
Space group: No. 223
Uncorrected formation energy: 148 kJ/mol of formula units

a b c (Å): 6.792 6.792 6.792
angles (deg): 90.00 90.00 90.00
Fractional coordinates of all 12 atoms:
Nb: 0.000 0.250 0.500
Nb: 0.000 0.750 0.500
Nb: 0.250 0.500 0.000
Nb: 0.500 0.000 0.250
Nb: 0.500 0.000 0.750
Nb: 0.750 0.500 0.000
Cl: 0.000 0.500 0.250
Cl: 0.000 0.500 0.750
Cl: 0.250 0.000 0.500
Cl: 0.500 0.250 0.000
Cl: 0.500 0.750 0.000
Cl: 0.750 0.000 0.500

---

The following is a DFT calculation (PBE-GGA) of a relaxed structure of Tb2CuGe4Au3.

Output
Density of states at the Fermi level: 3.93 states/eV per cell
Final energy: -4.644 eV per atom
Space group: No. 115
Formation energy: -4.8 eV per formula unit

a b c (Å): 4.179 4.179 11.353
angles (deg): 90.00 90.00 90.00
Fractional coordinates of all 10 atoms:
Tb: 0.000 0.500 0.225
Tb: 0.500 0.000 0.775
Cu: 0.500 0.500 0.000
Ge: 0.000 0.000 0.500
Ge: 0.000 0.500 0.869
Ge: 0.500 0.000 0.131
Ge: 0.500 0.500 0.500
Au: 0.000 0.000 0.000
Au: 0.000 0.500 0.649
Au: 0.500 0.000 0.351

---

The following is a DFT calculation (PBE-GGA) of a relaxed structure of LiLa2BeIr.

Output
Density of states at the Fermi level: 2.62 states/eV per cell
Relative energy among the computed polymorphs: 239.7 kJ/mol of formula units
Final energy: -4.551 eV per atom
Space group: No. 123
Formation energy: 1.6 eV per formula unit

a b c (Å): 5.308 5.308 4.154
angles (deg): 90.00 90.00 90.00
Fractional coordinates of all 5 atoms:
Li: 0.000 0.000 0.000
La: 0.000 0.500 0.500
La: 0.500 0.000 0.500
Be: 0.000 0.000 0.500
Ir: 0.500 0.500 0.000

---

The following is a DFT calculation (PBE-GGA) of a relaxed structure of Y2GaNiC.

Output
Density of states at the Fermi level: 5.08 states/eV per cell
Final energy: -6.595 eV per atom
Space group: No. 123
Formation energy: -2.0 eV per formula unit

a b c (Å): 5.006 5.006 3.694
angles (deg): 90.00 90.00 90.00
Fractional coordinates of all 5 atoms:
Y: 0.000 0.500 0.000
Y: 0.500 0.000 0.000
Ga: 0.000 0.000 0.500
Ni: 0.500 0.500 0.500
C: 0.500 0.500 0.000

---

The following is a DFT calculation (PBE-GGA) of a relaxed structure of MgIn4GeS8.

Output
Density of states at the Fermi level: 1.51 states/eV per cell
Final energy: -4.191 eV per atom
Space group: No. 160
Uncorrected formation energy: -819 kJ/mol of formula units

a b c (Å): 7.688 7.688 7.688
angles (deg): 60.95 60.95 60.95
Fractional coordinates of all 14 atoms:
Mg: 0.000 0.000 0.000
In: 0.112 0.623 0.623
In: 0.237 0.237 0.237
In: 0.623 0.112 0.623
In: 0.623 0.623 0.112
Ge: 0.626 0.626 0.626
S: 0.376 0.376 0.376
S: 0.379 0.379 0.844
S: 0.379 0.844 0.379
S: 0.390 0.867 0.867
S: 0.844 0.379 0.379
S: 0.866 0.866 0.866
S: 0.867 0.390 0.867
S: 0.867 0.867 0.390

---

The following is a DFT calculation (PBE-GGA) of a relaxed structure of TaCoPt4.

Output
Density of states at the Fermi level: 4.10 states/eV per cell
Relative energy among the computed polymorphs: 216.4 kJ/mol of formula units
Final energy: -7.211 eV per atom
Space group: No. 216
Formation energy: -0.1 eV per formula unit

a b c (Å): 5.181 5.181 5.181
angles (deg): 60.00 60.00 60.00
Fractional coordinates of all 6 atoms:
Ta: 0.000 0.000 0.000
Co: 0.250 0.250 0.250
Pt: 0.126 0.625 0.625
Pt: 0.625 0.126 0.625
Pt: 0.625 0.625 0.126
Pt: 0.625 0.625 0.625

---

The following is a DFT calculation (PBE-GGA) of a relaxed structure of KPb3.

Output
Density of states at the Fermi level: 1.61 states/eV per cell
Final energy: -3.137 eV per atom
Space group: No. 12
Formation energy: -0.3 eV per formula unit

a b c (Å): 6.045 6.045 6.908
angles (deg): 97.56 97.56 34.39
Fractional coordinates of all 4 atoms:
K: 0.000 0.000 0.000
Pb: 0.246 0.246 0.696
Pb: 0.500 0.500 0.500
Pb: 0.754 0.754 0.304